1.
Computed, not measured: an optimized crystal structure of TaMnW at the PBE-GGA level of DFT.

a b c (Å): 3.110 3.110 9.368
angles (deg): 90.00 90.00 90.00
Space group I4mm (No. 107)
Asymmetric unit:
Ta 0.000 0.000 0.000 x2
Mn 0.000 0.000 0.336 x2
W 0.000 0.000 0.680 x2

Crystal system: tetragonal
Calculated density: 15.38 g/cm³
Offset from the most stable computed form: 0.0000 eV/atom

2.
Computed, not measured: an optimized crystal structure of TaMnW2 at the PBE-GGA level of DFT.

a b c (Å): 5.316 9.006 2.678
angles (deg): 90.00 90.00 90.00
Space group Cmmm (No. 65)
Asymmetric unit:
Ta 0.000 0.000 0.000 x2
Mn 0.000 0.500 0.000 x2
W 0.250 0.250 0.500 x4

Crystal system: orthorhombic
Calculated density: 15.63 g/cm³
Offset from the most stable computed form: 0.3455 eV/atom

3.
Computed, not measured: an optimized crystal structure of TaMnW2 at the PBE-GGA level of DFT.

a b c (Å): 3.135 4.417 8.914
angles (deg): 90.00 90.00 90.00
Space group Immm (No. 71)
Asymmetric unit:
Ta 0.000 0.000 0.000 x2
Mn 0.000 0.000 0.500 x2
W 0.000 0.500 0.246 x4

Crystal system: orthorhombic
Calculated density: 16.24 g/cm³
Offset from the most stable computed form: 0.0370 eV/atom

4.
Computed, not measured: an optimized crystal structure of TaMnW2 at the PBE-GGA level of DFT.

a b c (Å): 2.8619 2.8619 26.7674
angles (deg): 90.00 90.00 120.00
Space group R-3m (No. 166, hexagonal axes)
Asymmetric unit:
Ta 0.0000 0.0000 0.0000 x3
Mn 0.0000 0.0000 0.5000 x3
W 0.0000 0.0000 0.2416 x6

Crystal system: trigonal
Calculated density: 15.84 g/cm³
Offset from the most stable computed form: 0.3890 eV/atom

5.
Computed, not measured: an optimized crystal structure of TaMnW2 at the PBE-GGA level of DFT.

a b c (Å): 7.122 7.122 5.219
angles (deg): 90.00 90.00 90.00
Space group I-42d (No. 122)
Asymmetric unit:
Ta 0.000 0.000 0.000 x4
Mn 0.000 0.000 0.500 x4
W 0.212 0.250 0.625 x8

Crystal system: tetragonal
Calculated density: 15.14 g/cm³
Offset from the most stable computed form: 0.7786 eV/atom

6.
Computed, not measured: an optimized crystal structure of TaMnW2 at the PBE-GGA level of DFT.

a b c (Å): 5.400 8.882 2.753
angles (deg): 90.00 109.88 90.00
Space group C2/m (No. 12)
Asymmetric unit:
Ta 0.000 0.000 0.000 x2
Mn 0.000 0.500 0.000 x2
W 0.250 0.250 0.500 x4

Crystal system: monoclinic
Calculated density: 16.14 g/cm³
Offset from the most stable computed form: 0.0727 eV/atom

7.
Computed, not measured: an optimized crystal structure of TaMn2W at the PBE-GGA level of DFT.

a b c (Å): 2.9183 2.9183 23.6852
angles (deg): 90.00 90.00 120.00
Space group R-3m (No. 166, hexagonal axes)
Asymmetric unit:
Ta 0.0000 0.0000 0.0000 x3
Mn 0.0000 0.0000 0.2480 x6
W 0.0000 0.0000 0.5000 x3

Crystal system: trigonal
Calculated density: 13.54 g/cm³
Offset from the most stable computed form: 0.3985 eV/atom

8.
Computed, not measured: an optimized crystal structure of TaMnW2 at the PBE-GGA level of DFT.

a b c (Å): 2.877 2.877 7.525
angles (deg): 90.00 90.00 90.00
Space group P4/mmm (No. 123)
Asymmetric unit:
Ta 0.000 0.000 0.000 x1
Mn 0.000 0.000 0.500 x1
W 0.500 0.500 0.289 x2

Crystal system: tetragonal
Calculated density: 16.09 g/cm³
Offset from the most stable computed form: 0.2212 eV/atom

9.
Computed, not measured: an optimized crystal structure of TaMn2W at the PBE-GGA level of DFT.

a b c (Å): 6.808 6.808 5.362
angles (deg): 90.00 90.00 90.00
Space group I-42d (No. 122)
Asymmetric unit:
Ta 0.000 0.000 0.000 x4
Mn 0.237 0.250 0.625 x8
W 0.000 0.000 0.500 x4

Crystal system: tetragonal
Calculated density: 12.69 g/cm³
Offset from the most stable computed form: 0.7178 eV/atom

10.
Computed, not measured: an optimized crystal structure of TaMnW2 at the PBE-GGA level of DFT.

a b c (Å): 3.141 4.479 8.768
angles (deg): 90.00 90.00 90.00
Space group Imm2 (No. 44)
Asymmetric unit:
Ta 0.000 0.000 0.000 x2
Mn 0.000 0.500 0.252 x2
W 0.000 0.000 0.507 x2
W 0.000 0.500 0.758 x2

Crystal system: orthorhombic
Calculated density: 16.25 g/cm³
Offset from the most stable computed form: 0.0740 eV/atom

11.
Computed, not measured: an optimized crystal structure of TaMn2W at the PBE-GGA level of DFT.

a b c (Å): 3.164 4.440 8.159
angles (deg): 90.00 90.00 90.00
Space group Cmmm (No. 65)
Asymmetric unit:
Ta 0.000 0.000 0.000 x2
Mn 0.000 0.500 0.255 x4
W 0.000 0.000 0.500 x2

Crystal system: orthorhombic
Calculated density: 13.75 g/cm³
Offset from the most stable computed form: 0.1668 eV/atom

12.
Computed, not measured: an optimized crystal structure of TaMn2W at the PBE-GGA level of DFT.

a b c (Å): 3.045 4.235 8.756
angles (deg): 90.00 90.00 90.00
Space group Imm2 (No. 44)
Asymmetric unit:
Ta 0.000 0.000 0.000 x2
Mn 0.000 0.000 0.503 x2
Mn 0.000 0.500 0.744 x2
W 0.000 0.500 0.241 x2

Crystal system: orthorhombic
Calculated density: 13.96 g/cm³
Offset from the most stable computed form: 0.1054 eV/atom

no.,total energy (eV per atom),formation energy from the elements (meV per atom)
1,-11.327,-1
2,-11.411,321
3,-11.720,13
4,-11.368,364
5,-10.978,754
6,-11.684,48
7,-10.443,343
8,-11.535,197
9,-10.124,662
10,-11.683,50
11,-10.675,111
12,-10.737,50